# 1
The following is a PBE-GGA calculation of a relaxed structure of B3AsO, from the Alexandria database.

DOS at the Fermi energy = 3.6 states/eV/f.u.
E above lowest polymorph = 0 meV per atom

Cell and atoms, written as POSCAR:
```
B3AsO
1.0
3.684 0.000 0.000
0.000 3.684 0.000
0.000 0.000 3.684
B As O
3 1 1
Direct
0.000 0.000 0.500
0.500 0.000 0.000
0.000 0.500 0.000
0.500 0.500 0.500
0.000 0.000 0.000
```

=====

# 2
The following is a PBE-GGA calculation of a relaxed structure of SnBi2HAu, from the Alexandria database.

calculated total energy = -17.9 eV for the cell shown
DOS at the Fermi energy = 0.7 states/eV/f.u.

Cell and atoms, written as POSCAR:
```
SnBi2HAu
1.0
5.890 0.000 0.000
0.000 5.890 0.000
0.000 0.000 3.471
Bi H Sn Au
2 1 1 1
Direct
0.000 0.500 0.000
0.500 0.000 0.000
0.000 0.000 0.500
0.500 0.500 0.500
0.000 0.000 0.000
```

=====

# 3
The following is a PBE-GGA calculation of a relaxed structure of NdZn8Cu4, from the Alexandria database.

calculated total energy = -34.0 eV for the cell shown
DOS at the Fermi energy = 6.6 states/eV/f.u.

Cell and atoms, written as POSCAR:
```
NdZn8Cu4
1.0
4.957 0.000 0.000
2.479 6.302 0.000
2.479 0.000 6.302
Zn Nd Cu
8 1 4
Direct
0.723 0.777 0.777
0.000 0.650 0.350
0.500 0.223 0.777
0.000 0.350 0.650
0.500 0.777 0.223
0.277 0.223 0.223
0.650 0.350 0.350
0.350 0.650 0.650
0.000 0.000 0.000
0.500 0.500 0.000
0.500 0.000 0.500
0.000 0.000 0.500
0.000 0.500 0.000
```

=====

# 4
The following is a PBE-GGA calculation of a relaxed structure of TeP2C, from the Alexandria database.

DOS at the Fermi energy = 1.5 states/eV/f.u.
E above lowest polymorph = 0 meV per atom

Cell and atoms, written as POSCAR:
```
TeP2C
1.0
-0.510 -4.593 -3.862
5.581 1.061 -1.999
3.871 -4.036 -0.407
Te P C
2 4 2
Direct
0.750 0.250 0.500
0.000 0.000 0.000
0.375 0.489 0.750
0.239 0.625 0.250
0.875 0.761 0.750
0.511 0.125 0.250
0.250 0.750 0.500
0.500 0.500 0.000
```

=====

# 5
The following is a PBE-GGA calculation of a relaxed structure of MgInPb4, from the Alexandria database.

DOS at the Fermi energy = 4.7 states/eV/f.u.
E above lowest polymorph = 132 meV per atom

Cell and atoms, written as POSCAR:
```
MgInPb4
1.0
-4.965 -3.896 1.595
-5.792 0.767 -2.872
-2.142 -4.446 -4.245
Pb Mg In
4 1 1
Direct
0.876 0.375 0.375
0.375 0.375 0.876
0.375 0.876 0.375
0.375 0.375 0.375
0.000 0.000 0.000
0.750 0.750 0.750
```

=====

# 6
The following is a PBE-GGA calculation of a relaxed structure of InTeRhN2, from the Alexandria database.

DOS at the Fermi energy = 4.3 states/eV/f.u.
E above lowest polymorph = 0 meV per atom

Cell and atoms, written as POSCAR:
```
InTeRhN2
1.0
-0.703 2.769 2.810
-3.518 0.853 -1.721
-2.506 -3.883 3.199
N In Rh Te
2 1 1 1
Direct
0.500 0.000 0.000
0.000 0.500 0.000
0.500 0.500 0.500
0.000 0.000 0.000
0.000 0.000 0.500
```